one) A plane-wave DFT calculation with PBE was carried out for LiPm2Fe after structural relaxation.

Geometry as POSCAR:
```
LiPm2Fe
1.0
5.006 0.000 0.000
2.503 4.335 0.000
2.503 1.445 4.087
Li Fe Pm
1 1 2
direct
0.500 0.500 0.500
0.000 0.000 0.000
0.250 0.250 0.250
0.750 0.750 0.750
```

Computed properties:
The calculation puts the density of states at the Fermi level at 1.172 states/eV/atom.

=====

two) A plane-wave DFT calculation with PBE was carried out for LiPm2Fe after structural relaxation.

Geometry as POSCAR:
```
LiPm2Fe
1.0
-0.775 3.232 1.039
-0.684 -1.192 3.200
7.817 1.194 2.117
Li Fe Pm
1 1 2
direct
0.500 0.500 0.500
0.500 0.500 0.000
0.000 0.000 0.796
0.000 0.000 0.204
```

Computed properties:
The calculation puts the density of states at the Fermi level at 1.003 states/eV/atom.

=====

Quick one: most stable of them? two)

=====

one) A plane-wave DFT calculation with PBE was carried out for LiFePt3 after structural relaxation.

Geometry as POSCAR:
```
LiFePt3
1.0
4.625 0.000 0.000
0.000 4.625 0.000
0.000 0.000 4.625
Fe Pt Li
1 3 1
direct
0.000 0.000 0.000
0.000 0.500 0.000
0.000 0.000 0.500
0.500 0.000 0.000
0.500 0.500 0.500
```

Computed properties:
The calculation puts the density of states at the Fermi level at 0.798 states/eV/atom.

=====

two) A plane-wave DFT calculation with PBE was carried out for LiFePt3 after structural relaxation.

Geometry as POSCAR:
```
LiFePt3
1.0
4.180 0.000 0.000
0.000 4.180 0.000
0.000 0.000 4.180
Fe Pt Li
1 3 1
direct
0.500 0.500 0.500
0.000 0.500 0.000
0.000 0.000 0.500
0.500 0.000 0.000
0.000 0.000 0.000
```

Computed properties:
The calculation puts the density of states at the Fermi level at 1.599 states/eV/atom.

=====

Quick one: most stable of them? one)

=====

one) A plane-wave DFT calculation with PBE was carried out for Li2FePt2 after structural relaxation.

Geometry as POSCAR:
```
Li2FePt2
1.0
-2.099 5.314 4.209
-6.769 -1.890 -0.989
0.145 -1.640 2.143
Fe Pt Li
2 4 4
direct
0.000 0.000 0.000
0.500 0.500 0.000
0.319 0.819 0.000
0.819 0.681 0.000
0.681 0.181 0.000
0.181 0.319 0.000
0.119 0.619 0.500
0.619 0.881 0.500
0.881 0.381 0.500
0.381 0.119 0.500
```

Computed properties:
The calculation puts the density of states at the Fermi level at 1.069 states/eV/atom.

=====

two) A plane-wave DFT calculation with PBE was carried out for Li2FePt2 after structural relaxation.

Geometry as POSCAR:
```
Li2FePt2
1.0
-1.446 -2.542 2.987
-0.098 -3.159 -2.736
2.910 -3.806 1.096
Fe Pt Li
1 2 2
direct
0.000 0.000 0.000
0.750 0.250 0.500
0.250 0.750 0.500
0.382 0.382 0.236
0.618 0.618 0.764
```

Computed properties:
The calculation puts the density of states at the Fermi level at 0.508 states/eV/atom.

=====

three) A plane-wave DFT calculation with PBE was carried out for Li2FePt2 after structural relaxation.

Geometry as POSCAR:
```
Li2FePt2
1.0
6.947 0.000 0.000
0.000 6.947 0.000
0.000 0.000 2.746
Fe Pt Li
2 4 4
direct
0.000 0.000 0.000
0.500 0.500 0.000
0.190 0.690 0.500
0.690 0.810 0.500
0.810 0.310 0.500
0.310 0.190 0.500
0.390 0.890 0.000
0.890 0.610 0.000
0.610 0.110 0.000
0.110 0.390 0.000
```

Computed properties:
The calculation puts the density of states at the Fermi level at 0.635 states/eV/atom.

=====

Quick one: most stable of them? three)

=====

one) A plane-wave DFT calculation with PBE was carried out for RbLiFe2 after structural relaxation.

Geometry as POSCAR:
```
RbLiFe2
1.0
0.754 -2.199 4.569
-1.906 2.171 4.235
-3.921 -2.198 2.465
Fe Rb Li
2 1 1
direct
0.250 0.250 0.250
0.750 0.750 0.750
0.500 0.500 0.500
0.000 0.000 0.000
```

Computed properties:
The calculation puts the density of states at the Fermi level at 1.005 states/eV/atom.

=====

two) A plane-wave DFT calculation with PBE was carried out for RbLiFe2 after structural relaxation.

Geometry as POSCAR:
```
RbLiFe2
1.0
-1.176 4.475 -0.628
-4.054 -1.332 -1.896
-6.867 1.715 7.726
Fe Rb Li
4 2 2
direct
0.375 0.125 0.250
0.375 0.625 0.250
0.375 0.625 0.750
0.875 0.625 0.750
0.000 0.000 0.000
0.750 0.250 0.500
0.500 0.500 0.000
0.250 0.750 0.500
```

Computed properties:
The calculation puts the density of states at the Fermi level at 1.103 states/eV/atom.

=====

Quick one: most stable of them? two)

=====

one) A plane-wave DFT calculation with PBE was carried out for LiFeRe2 after structural relaxation.

Geometry as POSCAR:
```
LiFeRe2
1.0
9.128 -0.010 -0.006
8.735 2.649 -0.006
8.735 1.290 2.314
Fe Li Re
1 1 2
direct
0.250 0.250 0.250
0.750 0.750 0.750
0.993 0.993 0.993
0.507 0.507 0.507
```

Computed properties:
The calculation puts the density of states at the Fermi level at 1.011 states/eV/atom.

=====

two) A plane-wave DFT calculation with PBE was carried out for LiFeRe2 after structural relaxation.

Geometry as POSCAR:
```
LiFeRe2
1.0
4.878 -0.111 0.000
-2.057 4.425 0.000
0.000 0.000 2.543
Fe Li Re
1 1 2
direct
0.500 0.000 0.500
0.000 0.500 0.500
0.000 0.000 0.000
0.500 0.500 0.000
```

Computed properties:
The calculation puts the density of states at the Fermi level at 0.773 states/eV/atom.

=====

three) A plane-wave DFT calculation with PBE was carried out for LiFeRe2 after structural relaxation.

Geometry as POSCAR:
```
LiFeRe2
1.0
3.073 0.000 0.000
0.000 3.073 0.000
0.000 0.000 5.582
Fe Li Re
1 1 2
direct
0.000 0.000 0.526
0.500 0.500 0.737
0.000 0.000 0.987
0.500 0.500 0.249
```

Computed properties:
The calculation puts the density of states at the Fermi level at 0.889 states/eV/atom.

=====

four) A plane-wave DFT calculation with PBE was carried out for LiFeRe2 after structural relaxation.

Geometry as POSCAR:
```
LiFeRe2
1.0
-1.399 1.464 -4.298
-2.652 -3.213 -2.285
0.110 2.503 4.037
Fe Li Re
1 1 2
direct
0.499 0.499 0.000
0.259 0.759 0.500
0.998 0.998 0.000
0.744 0.244 0.500
```

Computed properties:
The calculation puts the density of states at the Fermi level at 0.996 states/eV/atom.

=====

Quick one: most stable of them? one)

=====

one) A plane-wave DFT calculation with PBE was carried out for LiFeRe2 after structural relaxation.

Geometry as POSCAR:
```
LiFeRe2
1.0
-3.519 1.470 1.772
-0.541 -3.673 1.976
3.613 2.109 0.432
Fe Li Re
1 1 2
direct
0.500 0.500 0.000
0.750 0.250 0.500
0.000 0.000 0.000
0.250 0.750 0.500
```

Computed properties:
The calculation puts the density of states at the Fermi level at 0.900 states/eV/atom.

=====

two) A plane-wave DFT calculation with PBE was carried out for LiFeRe2 after structural relaxation.

Geometry as POSCAR:
```
LiFeRe2
1.0
5.033 0.060 0.012
2.300 4.477 -0.012
-3.192 -3.036 2.435
Fe Li Re
1 1 2
direct
0.750 0.250 0.500
0.250 0.750 0.500
0.989 0.989 0.000
0.511 0.511 0.000
```

Computed properties:
The calculation puts the density of states at the Fermi level at 0.810 states/eV/atom.

=====

three) A plane-wave DFT calculation with PBE was carried out for LiFeRe2 after structural relaxation.

Geometry as POSCAR:
```
LiFeRe2
1.0
-1.869 0.528 1.790
1.928 -1.477 1.038
4.348 7.340 2.373
Fe Li Re
1 1 2
direct
0.000 0.000 0.491
0.500 0.500 0.744
0.000 0.000 0.006
0.500 0.500 0.259
```

Computed properties:
The calculation puts the density of states at the Fermi level at 0.598 states/eV/atom.

=====

Quick one: most stable of them? one)

=====

one) A plane-wave DFT calculation with PBE was carried out for LiFeRe2 after structural relaxation.

Geometry as POSCAR:
```
LiFeRe2
1.0
9.167 -0.004 -0.003
8.761 2.699 -0.003
8.761 1.317 2.356
Fe Li Re
1 1 2
direct
0.502 0.502 0.502
0.752 0.752 0.752
0.996 0.996 0.996
0.250 0.250 0.250
```

Computed properties:
The calculation puts the density of states at the Fermi level at 0.757 states/eV/atom.

=====

two) A plane-wave DFT calculation with PBE was carried out for LiFeRe2 after structural relaxation.

Geometry as POSCAR:
```
LiFeRe2
1.0
4.266 0.000 0.000
0.000 2.568 0.013
0.000 0.690 4.932
Fe Li Re
1 1 2
direct
0.000 0.542 0.514
0.500 0.711 0.742
0.000 0.012 0.997
0.500 0.235 0.246
```

Computed properties:
The calculation puts the density of states at the Fermi level at 0.805 states/eV/atom.

=====

three) A plane-wave DFT calculation with PBE was carried out for LiFeRe2 after structural relaxation.

Geometry as POSCAR:
```
LiFeRe2
1.0
-2.220 0.717 -1.150
1.117 -0.281 -2.332
-2.381 -7.710 -0.212
Fe Li Re
1 1 2
direct
0.500 0.500 0.250
0.500 0.500 0.750
0.000 0.000 0.023
0.000 0.000 0.477
```

Computed properties:
The calculation puts the density of states at the Fermi level at 0.804 states/eV/atom.

=====

four) A plane-wave DFT calculation with PBE was carried out for LiFeRe2 after structural relaxation.

Geometry as POSCAR:
```
LiFeRe2
1.0
7.074 0.000 0.000
0.000 7.074 0.000
3.537 3.537 2.426
Re Fe Li
4 2 2
direct
0.688 0.125 0.250
0.062 0.625 0.250
0.375 0.312 0.750
0.875 0.938 0.750
0.000 0.000 0.000
0.750 0.250 0.500
0.500 0.500 0.000
0.250 0.750 0.500
```

Computed properties:
The calculation puts the density of states at the Fermi level at 1.316 states/eV/atom.

=====

Quick one: most stable of them? two)

=====

one) A plane-wave DFT calculation with PBE was carried out for LiFeRe2 after structural relaxation.

Geometry as POSCAR:
```
LiFeRe2
1.0
4.256 0.000 0.000
0.000 2.566 -0.065
0.000 1.056 4.932
Fe Li Re
1 1 2
direct
0.500 0.250 0.250
0.500 0.750 0.750
0.000 0.014 0.997
0.000 0.486 0.503
```

Computed properties:
The calculation puts the density of states at the Fermi level at 0.710 states/eV/atom.

=====

two) A plane-wave DFT calculation with PBE was carried out for LiFeRe2 after structural relaxation.

Geometry as POSCAR:
```
LiFeRe2
1.0
4.699 0.007 0.000
1.815 4.335 0.000
-3.257 -2.171 2.600
Fe Li Re
1 1 2
direct
0.250 0.750 0.500
0.750 0.250 0.500
0.000 0.000 0.000
0.500 0.500 0.000
```

Computed properties:
The calculation puts the density of states at the Fermi level at 0.675 states/eV/atom.

=====

Quick one: most stable of them? one)

=====

one) A plane-wave DFT calculation with PBE was carried out for LiFeRe2 after structural relaxation.

Geometry as POSCAR:
```
LiFeRe2
1.0
2.592 0.055 0.000
-0.900 2.431 0.000
0.000 0.000 8.875
Fe Li Re
1 1 2
direct
0.500 0.500 0.250
0.500 0.500 0.750
0.000 0.000 0.014
0.000 0.000 0.486
```

Computed properties:
The calculation puts the density of states at the Fermi level at 0.730 states/eV/atom.

=====

two) A plane-wave DFT calculation with PBE was carried out for LiFeRe2 after structural relaxation.

Geometry as POSCAR:
```
LiFeRe2
1.0
-0.817 1.323 2.100
2.140 -2.202 2.220
3.964 3.307 -0.542
Fe Li Re
1 1 2
direct
0.500 0.500 0.250
0.500 0.500 0.750
0.000 0.000 0.995
0.000 0.000 0.505
```

Computed properties:
The calculation puts the density of states at the Fermi level at 0.828 states/eV/atom.

=====

Quick one: most stable of them? one)

=====

one) A plane-wave DFT calculation with PBE was carried out for LiFeRe2 after structural relaxation.

Geometry as POSCAR:
```
LiFeRe2
1.0
-1.992 -0.115 -1.666
1.700 -3.162 -1.815
-2.505 -3.191 3.215
Fe Li Re
1 1 2
direct
0.000 0.000 0.516
0.500 0.500 0.738
0.000 0.000 0.999
0.500 0.500 0.247
```

Computed properties:
The calculation puts the density of states at the Fermi level at 0.781 states/eV/atom.

=====

two) A plane-wave DFT calculation with PBE was carried out for LiFeRe2 after structural relaxation.

Geometry as POSCAR:
```
LiFeRe2
1.0
-2.454 0.520 1.895
-2.206 -2.747 -2.102
1.334 -3.030 2.559
Fe Li Re
1 1 2
direct
0.500 0.000 0.500
0.000 0.500 0.500
0.000 0.000 0.000
0.500 0.500 0.000
```

Computed properties:
The calculation puts the density of states at the Fermi level at 0.835 states/eV/atom.

=====

three) A plane-wave DFT calculation with PBE was carried out for LiFeRe2 after structural relaxation.

Geometry as POSCAR:
```
LiFeRe2
1.0
4.748 -0.014 -0.125
3.993 2.569 -0.125
1.137 0.332 4.446
Fe Li Re
1 1 2
direct
0.750 0.750 0.750
0.250 0.250 0.250
0.015 0.015 0.991
0.485 0.485 0.509
```

Computed properties:
The calculation puts the density of states at the Fermi level at 0.872 states/eV/atom.

=====

four) A plane-wave DFT calculation with PBE was carried out for LiFeRe2 after structural relaxation.

Geometry as POSCAR:
```
LiFeRe2
1.0
-1.411 1.409 -4.120
-3.457 0.353 -2.979
-1.398 4.364 1.531
Fe Li Re
1 1 2
direct
0.492 0.492 0.482
0.247 0.247 0.262
0.002 0.002 0.001
0.759 0.759 0.755
```

Computed properties:
The calculation puts the density of states at the Fermi level at 0.888 states/eV/atom.

=====

Quick one: most stable of them? three)